(1)
PBE Nd4Tl2Zn, relaxed; crystal system = monoclinic; polymorph energy (0 for the lowest one) = 0.0648 eV per atom; SG = No. 12; raw total energy = -3.7408 eV/atom; energy relative to the elements = -0.158 eV/atom
1.0
8.647 -1.882 0.000
8.647 1.882 0.000
-3.289 0.000 6.795
Nd Tl Zn
4 2 1
Cartesian
0.745 0.000 1.602
6.030 0.000 1.159
7.975 0.000 5.636
13.260 0.000 5.193
1.939 0.000 4.684
12.066 0.000 2.111
-1.645 0.000 3.397

***

(2)
PBE CdTcSe, relaxed; crystal system = trigonal; formation energy without anion corrections = -0.053 eV/atom; polymorph energy (0 for the lowest one) = 0.0000 eV per atom; SG = No. 156; raw total energy = -4.9749 eV/atom
1.0
3.216 0.000 0.000
-1.608 2.785 0.000
0.000 0.000 6.687
Cd Tc Se
1 1 1
Cartesian
0.000 0.000 0.000
0.000 1.857 4.466
1.608 0.928 2.913

***

no.,Fermi-level density of states (states/eV per atom),calculated volume (Å³/f.u.)
1,1.14,221
2,0.26,60